# 1
DFT (GGA-PBE) results for a geometry-optimized Tm6GeP2S3 structure.

abc: 3.9395 7.8538 8.7903
angles: 102.76 102.95 90.00
Fractional positions:
1 Tm 0.6691 0.5784 0.3382
2 Ge 0.5000 0.0000 0.0000
3 Tm 0.9984 0.7506 0.9968
4 S 0.1675 0.8321 0.3351
5 S 0.5000 0.5000 0.0000
6 Tm 0.0016 0.2494 0.0032
7 Tm 0.3339 0.9113 0.6679
8 P 0.8327 0.6652 0.6653
9 Tm 0.3309 0.4216 0.6618
10 P 0.1673 0.3348 0.3347
11 Tm 0.6661 0.0887 0.3321
12 S 0.8325 0.1679 0.6649

Crystal system: monoclinic
Uncorrected formation energy in eV/atom: -1.705
Symmetry: No. 12
Total magnetization in μB/f.u.: 0.000

# 2
DFT (GGA-PBE) results for a geometry-optimized VGePS2 structure.

abc: 4.4764 4.4764 4.8307
angles: 90.00 90.00 90.00
Fractional positions:
1 S 0.5000 0.0000 0.0000
2 Ge 0.5000 0.5000 0.5000
3 P 0.0000 0.0000 0.5000
4 V 0.0000 0.0000 0.0000
5 S 0.0000 0.5000 0.0000

Crystal system: tetragonal
Uncorrected formation energy in eV/atom: 0.147
Symmetry: No. 123
Total magnetization in μB/f.u.: 0.114
Energy above the lowest structure with this stoichiometry in meV/atom: 0

# 3
DFT (GGA-PBE) results for a geometry-optimized VGePS2 structure.

abc: 4.6320 4.6320 4.6061
angles: 90.00 90.00 90.00
Fractional positions:
1 P 0.0000 0.0000 0.5000
2 S 0.5000 0.0000 0.0000
3 S 0.0000 0.5000 0.0000
4 Ge 0.0000 0.0000 0.0000
5 V 0.5000 0.5000 0.5000

Crystal system: tetragonal
Uncorrected formation energy in eV/atom: 0.913
Symmetry: No. 123
Total magnetization in μB/f.u.: 0.111
Energy above the lowest structure with this stoichiometry in meV/atom: 766

# 4
DFT (GGA-PBE) results for a geometry-optimized GeP2WS structure.

abc: 4.5547 4.5547 4.5836
angles: 90.00 90.00 90.00
Fractional positions:
1 P 0.5000 0.0000 0.0000
2 S 0.0000 0.0000 0.5000
3 P 0.0000 0.5000 0.0000
4 Ge 0.0000 0.0000 0.0000
5 W 0.5000 0.5000 0.5000

Crystal system: tetragonal
Uncorrected formation energy in eV/atom: 1.408
Symmetry: No. 123
Total magnetization in μB/f.u.: 2.260
Energy above the lowest structure with this stoichiometry in meV/atom: 865